(1)
Below is a relaxed Tb6Nd3Sc crystal, with properties calculated at the PBE-GGA level.

Cell lengths 6.224, 6.224, 8.978 Å; angles 98.03, 98.03, 84.56 degrees
Fractional coordinates of all 10 atoms:
Tb (0.116, 0.116, 0.361)
Tb (0.195, 0.566, 0.140)
Tb (0.434, 0.805, 0.860)
Tb (0.566, 0.195, 0.140)
Tb (0.805, 0.434, 0.860)
Tb (0.884, 0.884, 0.639)
Nd (0.282, 0.282, 0.752)
Nd (0.500, 0.500, 0.500)
Nd (0.718, 0.718, 0.248)
Sc (0.000, 0.000, 0.000)

Properties
E_form: 2.798 eV/f.u.
Total energy: -45.62 eV/f.u.
Polymorph energy (0 for the lowest one): 134 meV/atom

=====

(2)
Below is a relaxed Tb7NdSc3 crystal, with properties calculated at the PBE-GGA level.

Cell lengths 6.997, 6.997, 8.264 Å; angles 90.00, 90.00, 120.00 degrees
Fractional coordinates of all 11 atoms:
Tb (0.000, 0.000, 0.000)
Tb (0.166, 0.331, 0.655)
Tb (0.166, 0.834, 0.655)
Tb (0.501, 0.002, 0.015)
Tb (0.501, 0.499, 0.015)
Tb (0.669, 0.834, 0.655)
Tb (0.998, 0.499, 0.015)
Nd (0.667, 0.333, 0.671)
Sc (0.331, 0.166, 0.333)
Sc (0.834, 0.166, 0.333)
Sc (0.834, 0.669, 0.333)

Properties
E_form: 2.457 eV/f.u.
Total energy: -53.72 eV/f.u.

=====

(3)
Below is a relaxed Tb3Nd6Sc2 crystal, with properties calculated at the PBE-GGA level.

Cell lengths 6.219, 6.219, 11.328 Å; angles 95.26, 95.26, 120.06 degrees
Fractional coordinates of all 11 atoms:
Tb (0.000, 0.000, 0.000)
Tb (0.334, 0.666, 0.000)
Tb (0.666, 0.334, 0.000)
Nd (0.090, 0.421, 0.264)
Nd (0.247, 0.247, 0.736)
Nd (0.421, 0.090, 0.264)
Nd (0.579, 0.910, 0.736)
Nd (0.753, 0.753, 0.264)
Nd (0.910, 0.579, 0.736)
Sc (0.167, 0.833, 0.500)
Sc (0.833, 0.167, 0.500)

Properties
E_form: 2.130 eV/f.u.
Total energy: -53.03 eV/f.u.

=====

(4)
Below is a relaxed Tb6NdSc3 crystal, with properties calculated at the PBE-GGA level.

Cell lengths 10.757, 10.757, 6.274 Å; angles 90.00, 90.00, 123.47 degrees
Fractional coordinates of all 20 atoms:
Tb (0.025, 0.429, 0.015)
Tb (0.044, 0.956, 0.500)
Tb (0.295, 0.362, 0.182)
Tb (0.316, 0.684, 0.333)
Tb (0.362, 0.295, 0.682)
Tb (0.429, 0.025, 0.515)
Tb (0.571, 0.975, 0.015)
Tb (0.638, 0.705, 0.182)
Tb (0.684, 0.316, 0.833)
Tb (0.705, 0.638, 0.682)
Tb (0.956, 0.044, 0.000)
Tb (0.975, 0.571, 0.515)
Nd (0.214, 0.786, 0.869)
Nd (0.786, 0.214, 0.369)
Sc (0.079, 0.311, 0.579)
Sc (0.311, 0.079, 0.079)
Sc (0.385, 0.615, 0.796)
Sc (0.615, 0.385, 0.296)
Sc (0.689, 0.921, 0.579)
Sc (0.921, 0.689, 0.079)

Properties
E_form: 1.645 eV/f.u.
Total energy: -49.90 eV/f.u.
Polymorph energy (0 for the lowest one): 0 meV/atom

=====

(5)
Below is a relaxed Tb8Nd3Sc3 crystal, with properties calculated at the PBE-GGA level.

Cell lengths 10.240, 10.240, 10.240 Å; angles 149.23, 124.13, 65.15 degrees
Fractional coordinates of all 14 atoms:
Tb (0.044, 0.200, 0.845)
Tb (0.137, 0.374, 0.763)
Tb (0.355, 0.200, 0.155)
Tb (0.388, 0.626, 0.763)
Tb (0.612, 0.374, 0.237)
Tb (0.645, 0.800, 0.845)
Tb (0.863, 0.626, 0.237)
Tb (0.956, 0.800, 0.155)
Nd (0.242, 0.000, 0.242)
Nd (0.500, 0.500, 0.000)
Nd (0.758, 0.000, 0.758)
Sc (0.000, 0.500, 0.500)
Sc (0.327, 0.827, 0.500)
Sc (0.673, 0.173, 0.500)

Properties
E_form: 5.200 eV/f.u.
Total energy: -65.14 eV/f.u.

=====

(6)
Below is a relaxed TbNd2Sc3 crystal, with properties calculated at the PBE-GGA level.

Cell lengths 8.530, 8.530, 9.733 Å; angles 121.40, 121.40, 36.45 degrees
Fractional coordinates of all 12 atoms:
Tb (0.131, 0.131, 0.147)
Tb (0.869, 0.869, 0.853)
Nd (0.221, 0.221, 0.863)
Nd (0.486, 0.486, 0.166)
Nd (0.514, 0.514, 0.834)
Nd (0.779, 0.779, 0.137)
Sc (0.024, 0.024, 0.374)
Sc (0.258, 0.258, 0.575)
Sc (0.383, 0.383, 0.403)
Sc (0.617, 0.617, 0.597)
Sc (0.742, 0.742, 0.425)
Sc (0.976, 0.976, 0.626)

Properties
E_form: 0.499 eV/f.u.
Total energy: -32.66 eV/f.u.
Polymorph energy (0 for the lowest one): 31 meV/atom

=====

(7)
Below is a relaxed Tb2Nd2Sc3 crystal, with properties calculated at the PBE-GGA level.

Cell lengths 8.157, 8.157, 8.157 Å; angles 109.47, 109.47, 109.47 degrees
Fractional coordinates of all 14 atoms:
Tb (0.000, 0.430, 0.500)
Tb (0.070, 0.070, 0.070)
Tb (0.430, 0.500, 0.000)
Tb (0.500, 0.000, 0.430)
Nd (0.000, 0.828, 0.500)
Nd (0.500, 0.000, 0.828)
Nd (0.672, 0.672, 0.672)
Nd (0.828, 0.500, 0.000)
Sc (0.209, 0.750, 0.959)
Sc (0.250, 0.541, 0.291)
Sc (0.291, 0.250, 0.541)
Sc (0.541, 0.291, 0.250)
Sc (0.750, 0.959, 0.209)
Sc (0.959, 0.209, 0.750)

Properties
E_form: 1.517 eV/f.u.
Total energy: -36.27 eV/f.u.

=====

(8)
Below is a relaxed Tb5Nd2Sc2 crystal, with properties calculated at the PBE-GGA level.

Cell lengths 9.284, 9.284, 8.114 Å; angles 90.00, 90.00, 54.61 degrees
Fractional coordinates of all 18 atoms:
Tb (0.000, 0.000, 0.000)
Tb (0.051, 0.686, 0.680)
Tb (0.186, 0.551, 0.180)
Tb (0.314, 0.949, 0.680)
Tb (0.449, 0.814, 0.180)
Tb (0.500, 0.500, 0.500)
Tb (0.551, 0.186, 0.820)
Tb (0.686, 0.051, 0.320)
Tb (0.814, 0.449, 0.820)
Tb (0.949, 0.314, 0.320)
Nd (0.214, 0.214, 0.000)
Nd (0.286, 0.286, 0.500)
Nd (0.714, 0.714, 0.500)
Nd (0.786, 0.786, 0.000)
Sc (0.125, 0.875, 0.375)
Sc (0.375, 0.625, 0.875)
Sc (0.625, 0.375, 0.125)
Sc (0.875, 0.125, 0.625)

Properties
E_form: 2.015 eV/f.u.
Total energy: -43.34 eV/f.u.
Polymorph energy (0 for the lowest one): 183 meV/atom